VASP calculation (SCAN) on a crystal of KTcN2 relaxed with PBEsol.

```
KTcN2
1.0
5.608 0.000 0.000
0.000 5.608 0.000
0.000 0.000 5.608
K Tc N
4 4 8
Cartesian
0.000 0.000 0.000
0.000 2.804 2.804
2.804 0.000 2.804
2.804 2.804 0.000
0.000 0.000 2.804
0.000 2.804 0.000
2.804 0.000 0.000
2.804 2.804 2.804
1.402 1.402 1.402
1.402 1.402 4.206
1.402 4.206 1.402
1.402 4.206 4.206
4.206 1.402 1.402
4.206 1.402 4.206
4.206 4.206 1.402
4.206 4.206 4.206
```

final energy: -14.022 eV/atom
offset from the most stable computed form: 1803 meV/atom
formation energy (no corrections): 5.88 eV/f.u.
M_tot: 7.00 μB per cell
space-group type: Fm-3m, No. 225

VASP calculation (SCAN) on a crystal of Ba2CaInSb relaxed with PBEsol.

```
Ba2CaInSb
1.0
6.560 0.000 0.000
0.000 6.560 0.000
0.000 0.000 5.774
Ba Ca In Sb
2 1 1 1
Cartesian
0.000 3.280 0.000
3.280 0.000 0.000
0.000 0.000 2.887
3.280 3.280 2.887
0.000 0.000 0.000
```

final energy: -32.308 eV/atom
formation energy (no corrections): -2.13 eV/f.u.
M_tot: 0.01 μB per cell
space-group type: P4/mmm, No. 123

VASP calculation (SCAN) on a crystal of Si2TcP relaxed with PBEsol.

```
Si2TcP
1.0
3.982 0.000 0.000
0.000 3.182 0.000
0.000 0.000 8.663
Si Tc P
4 2 2
Cartesian
0.000 0.000 0.000
0.000 1.591 4.332
1.991 0.000 2.639
1.991 1.591 6.971
0.000 0.000 6.240
0.000 1.591 1.908
1.991 0.000 4.902
1.991 1.591 0.570
```

final energy: -16.458 eV/atom
formation energy (no corrections): -0.34 eV/f.u.
M_tot: 0.00 μB per cell
space-group type: Amm2, No. 38

VASP calculation (SCAN) on a crystal of Ru3Rh relaxed with PBEsol.

```
Ru3Rh
1.0
2.663 0.000 0.000
-1.332 2.307 0.000
0.000 0.000 26.092
Ru Rh
9 3
Cartesian
0.000 0.000 0.000
0.000 0.000 6.548
0.000 0.000 19.544
0.000 1.538 10.847
0.000 1.538 17.395
0.000 1.538 23.942
1.332 0.769 2.149
1.332 0.769 8.697
1.332 0.769 15.245
0.000 0.000 13.046
0.000 1.538 4.349
1.332 0.769 21.743
```

final energy: -34.474 eV/atom
M_tot: 0.00 μB per cell
E_form: 34 kJ/mol of formula units
space-group type: R-3m, No. 166

VASP calculation (SCAN) on a crystal of ZnPt2W relaxed with PBEsol.

```
ZnPt2W
1.0
8.966 0.000 0.000
0.000 2.743 0.000
-0.735 0.000 4.792
Zn Pt W
2 4 2
Cartesian
0.000 0.000 0.000
4.483 1.371 0.000
1.693 0.000 3.577
2.055 1.371 1.215
6.538 0.000 1.215
6.176 1.371 3.577
-0.367 1.371 2.396
4.115 0.000 2.396
```

final energy: -56.030 eV/atom
M_tot: 0.00 μB per cell
E_form: -51 kJ/mol of formula units
space-group type: C2/m, No. 12

VASP calculation (SCAN) on a crystal of Ba2BeSi relaxed with PBEsol.

```
Ba2BeSi
1.0
4.097 0.000 0.000
-2.049 3.548 0.000
0.000 0.000 26.680
Ba Be Si
6 3 3
Cartesian
0.000 0.000 0.000
0.000 0.000 4.623
0.000 2.366 17.787
0.000 2.366 22.410
2.049 1.183 8.893
2.049 1.183 13.516
0.000 0.000 11.206
0.000 2.366 2.313
2.049 1.183 20.099
0.000 0.000 20.098
0.000 2.366 11.205
2.049 1.183 2.312
```

final energy: -23.549 eV/atom
offset from the most stable computed form: 0 meV/atom
formation energy (no corrections): -0.73 eV/f.u.
M_tot: 0.06 μB per cell
space-group type: R3m, No. 160

What did the third record say?
VASP calculation (SCAN) on a crystal of Si2TcP relaxed with PBEsol.

```
Si2TcP
1.0
3.982 0.000 0.000
0.000 3.182 0.000
0.000 0.000 8.663
Si Tc P
4 2 2
Cartesian
0.000 0.000 0.000
0.000 1.591 4.332
1.991 0.000 2.639
1.991 1.591 6.971
0.000 0.000 6.240
0.000 1.591 1.908
1.991 0.000 4.902
1.991 1.591 0.570
```

final energy: -16.458 eV/atom
formation energy (no corrections): -0.34 eV/f.u.
M_tot: 0.00 μB per cell
space-group type: Amm2, No. 38